# 1
DFT (GGA-PBE) results for a geometry-optimized Ca3Pm2NpAs6 structure.

Cell and atoms, written as CIF:
```
data_Ca3Pm2NpAs6
_chemical_formula_sum 'Ca3 Pm2 Np1 As6'
_space_group_name_H-M_alt 'P 1'
_space_group_IT_number 1
_cell_length_a 7.301
_cell_length_b 7.301
_cell_length_c 7.293
_cell_angle_alpha 99.65
_cell_angle_beta 99.65
_cell_angle_gamma 119.97
loop_
_space_group_symop_operation_xyz
'x,y,z'
loop_
_atom_site_label
_atom_site_type_symbol
_atom_site_fract_x
_atom_site_fract_y
_atom_site_fract_z
Ca1 Ca 0.171 0.829 0.500
Ca2 Ca 0.829 0.171 0.500
Ca3 Ca 0.500 0.500 0.500
Pm1 Pm 0.334 0.666 0.000
Pm2 Pm 0.666 0.334 0.000
Np1 Np 0.000 0.000 0.000
As1 As 0.922 0.607 0.765
As2 As 0.765 0.765 0.233
As3 As 0.078 0.393 0.235
As4 As 0.607 0.922 0.765
As5 As 0.235 0.235 0.767
As6 As 0.393 0.078 0.235
```

Properties
Space-group type: No. 12
Density (g/cm³): 5.740
Crystal system: monoclinic
E_form (eV/atom): -1.148



# 2
DFT (GGA-PBE) results for a geometry-optimized Ca3Pr2NpAs6 structure.

Cell and atoms, written as CIF:
```
data_Ca3Pr2NpAs6
_chemical_formula_sum 'Ca3 Pr2 Np1 As6'
_space_group_name_H-M_alt 'P 1'
_space_group_IT_number 1
_cell_length_a 7.364
_cell_length_b 7.364
_cell_length_c 7.314
_cell_angle_alpha 99.73
_cell_angle_beta 99.73
_cell_angle_gamma 119.96
loop_
_space_group_symop_operation_xyz
'x,y,z'
loop_
_atom_site_label
_atom_site_type_symbol
_atom_site_fract_x
_atom_site_fract_y
_atom_site_fract_z
Ca1 Ca 0.171 0.829 0.500
Ca2 Ca 0.829 0.171 0.500
Ca3 Ca 0.500 0.500 0.500
Pr1 Pr 0.334 0.666 0.000
Pr2 Pr 0.666 0.334 0.000
Np1 Np 0.000 0.000 0.000
As1 As 0.921 0.609 0.763
As2 As 0.769 0.769 0.235
As3 As 0.079 0.391 0.237
As4 As 0.609 0.921 0.763
As5 As 0.231 0.231 0.765
As6 As 0.391 0.079 0.237
```

Properties
Space-group type: No. 12
Density (g/cm³): 5.589
Crystal system: monoclinic
E_form (eV/atom): -1.133



# 3
DFT (GGA-PBE) results for a geometry-optimized Ca2PrNpAs4 structure.

Cell and atoms, written as CIF:
```
data_Ca2PrNpAs4
_chemical_formula_sum 'Ca2 Pr1 Np1 As4'
_space_group_name_H-M_alt 'P 1'
_space_group_IT_number 1
_cell_length_a 4.249
_cell_length_b 7.329
_cell_length_c 7.279
_cell_angle_alpha 109.55
_cell_angle_beta 90.00
_cell_angle_gamma 90.00
loop_
_space_group_symop_operation_xyz
'x,y,z'
loop_
_atom_site_label
_atom_site_type_symbol
_atom_site_fract_x
_atom_site_fract_y
_atom_site_fract_z
Ca1 Ca 0.500 0.000 0.500
Ca2 Ca 0.000 0.500 0.500
Pr1 Pr 0.500 0.500 0.000
Np1 Np 0.000 0.000 0.000
As1 As 0.500 0.230 0.231
As2 As 0.500 0.770 0.769
As3 As 0.000 0.236 0.763
As4 As 0.000 0.764 0.237
```

Properties
Space-group type: No. 10
Density (g/cm³): 5.891
Crystal system: monoclinic
E_form (eV/atom): -1.070



# 4
DFT (GGA-PBE) results for a geometry-optimized Ca2NpAs3Pt4 structure.

Cell and atoms, written as CIF:
```
data_Ca2NpAs3Pt4
_chemical_formula_sum 'Ca2 Np1 As3 Pt4'
_space_group_name_H-M_alt 'P 1'
_space_group_IT_number 1
_cell_length_a 4.261
_cell_length_b 4.261
_cell_length_c 11.470
_cell_angle_alpha 90.00
_cell_angle_beta 90.00
_cell_angle_gamma 90.00
loop_
_space_group_symop_operation_xyz
'x,y,z'
loop_
_atom_site_label
_atom_site_type_symbol
_atom_site_fract_x
_atom_site_fract_y
_atom_site_fract_z
Ca1 Ca 0.500 0.000 0.221
Ca2 Ca 0.000 0.500 0.779
Np1 Np 0.500 0.500 0.500
As1 As 0.000 0.000 0.500
As2 As 0.500 0.000 0.875
As3 As 0.000 0.500 0.125
Pt1 Pt 0.500 0.500 0.000
Pt2 Pt 0.000 0.000 0.000
Pt3 Pt 0.500 0.000 0.662
Pt4 Pt 0.000 0.500 0.338
```

Properties
Space-group type: No. 115
Density (g/cm³): 10.544
Crystal system: tetragonal
E_form (eV/atom): -0.695



# 5
DFT (GGA-PBE) results for a geometry-optimized CaPu2NpAs4 structure.

Cell and atoms, written as CIF:
```
data_CaPu2NpAs4
_chemical_formula_sum 'Ca1 Pu2 Np1 As4'
_space_group_name_H-M_alt 'P 1'
_space_group_IT_number 1
_cell_length_a 4.158
_cell_length_b 7.202
_cell_length_c 7.182
_cell_angle_alpha 109.29
_cell_angle_beta 90.00
_cell_angle_gamma 90.00
loop_
_space_group_symop_operation_xyz
'x,y,z'
loop_
_atom_site_label
_atom_site_type_symbol
_atom_site_fract_x
_atom_site_fract_y
_atom_site_fract_z
Ca1 Ca 0.500 0.500 0.000
Pu1 Pu 0.500 0.000 0.500
Pu2 Pu 0.000 0.500 0.500
Np1 Np 0.000 0.000 0.000
As1 As 0.500 0.243 0.250
As2 As 0.500 0.757 0.750
As3 As 0.000 0.237 0.743
As4 As 0.000 0.763 0.257
```

Properties
Space-group type: No. 10
Density (g/cm³): 8.711
Crystal system: monoclinic
E_form (eV/atom): -0.916



# 6
DFT (GGA-PBE) results for a geometry-optimized CaPuNp2As4 structure.

Cell and atoms, written as CIF:
```
data_CaPuNp2As4
_chemical_formula_sum 'Ca1 Pu1 Np2 As4'
_space_group_name_H-M_alt 'P 1'
_space_group_IT_number 1
_cell_length_a 4.138
_cell_length_b 7.170
_cell_length_c 7.190
_cell_angle_alpha 109.31
_cell_angle_beta 90.00
_cell_angle_gamma 90.00
loop_
_space_group_symop_operation_xyz
'x,y,z'
loop_
_atom_site_label
_atom_site_type_symbol
_atom_site_fract_x
_atom_site_fract_y
_atom_site_fract_z
Ca1 Ca 0.500 0.500 0.000
Pu1 Pu 0.000 0.000 0.000
Np1 Np 0.500 0.000 0.500
Np2 Np 0.000 0.500 0.500
As1 As 0.500 0.248 0.257
As2 As 0.500 0.752 0.743
As3 As 0.000 0.242 0.737
As4 As 0.000 0.758 0.263
```

Properties
Space-group type: No. 10
Density (g/cm³): 8.725
Crystal system: monoclinic
E_form (eV/atom): -0.838



# 7
DFT (GGA-PBE) results for a geometry-optimized Ca2NpAs3Rh4 structure.

Cell and atoms, written as CIF:
```
data_Ca2NpAs3Rh4
_chemical_formula_sum 'Ca2 Np1 As3 Rh4'
_space_group_name_H-M_alt 'P 1'
_space_group_IT_number 1
_cell_length_a 4.165
_cell_length_b 4.165
_cell_length_c 11.143
_cell_angle_alpha 90.00
_cell_angle_beta 90.00
_cell_angle_gamma 90.00
loop_
_space_group_symop_operation_xyz
'x,y,z'
loop_
_atom_site_label
_atom_site_type_symbol
_atom_site_fract_x
_atom_site_fract_y
_atom_site_fract_z
Ca1 Ca 0.500 0.000 0.227
Ca2 Ca 0.000 0.500 0.773
Np1 Np 0.500 0.500 0.500
As1 As 0.000 0.000 0.500
As2 As 0.500 0.000 0.872
As3 As 0.000 0.500 0.128
Rh1 Rh 0.500 0.500 0.000
Rh2 Rh 0.000 0.000 0.000
Rh3 Rh 0.500 0.000 0.654
Rh4 Rh 0.000 0.500 0.346
```

Properties
Space-group type: No. 115
Density (g/cm³): 8.193
Crystal system: tetragonal
E_form (eV/atom): -0.722



# 8
DFT (GGA-PBE) results for a geometry-optimized Ca2Np2Sb2As structure.

Cell and atoms, written as CIF:
```
data_Ca2Np2Sb2As
_chemical_formula_sum 'Ca2 Np2 Sb2 As1'
_space_group_name_H-M_alt 'P 1'
_space_group_IT_number 1
_cell_length_a 5.357
_cell_length_b 5.357
_cell_length_c 8.919
_cell_angle_alpha 107.48
_cell_angle_beta 107.48
_cell_angle_gamma 90.00
loop_
_space_group_symop_operation_xyz
'x,y,z'
loop_
_atom_site_label
_atom_site_type_symbol
_atom_site_fract_x
_atom_site_fract_y
_atom_site_fract_z
Ca1 Ca 0.179 0.179 0.357
Ca2 Ca 0.821 0.821 0.643
Np1 Np 0.000 0.500 0.000
Np2 Np 0.500 0.000 0.000
Sb1 Sb 0.373 0.373 0.745
Sb2 Sb 0.627 0.627 0.255
As1 As 0.000 0.000 0.000
```

Properties
Space-group type: No. 139
Uncorrected formation energy (meV/atom): -429
Density (g/cm³): 6.253
Crystal system: tetragonal



Which of these has the highest density? Ca2NpAs3Pt4